Compound: La2PmIn
Source: Alexandria
Functional: GGA-PBE
Structure: relaxed

Results
E above lowest polymorph (eV per atom): 0.0411
Energy of formation from the pure elements (eV/atom): -0.248

Structure (CIF):
```
data_La2PmIn
_space_group_name_H-M_alt 'P 1 21/m 1'
_space_group_IT_number 11
_cell_length_a 6.860
_cell_length_b 5.385
_cell_length_c 7.175
_cell_angle_alpha 90.00
_cell_angle_beta 99.14
_cell_angle_gamma 90.00
loop_
_space_group_symop_operation_xyz
'x,y,z'
'-x,-y,-z'
'-x,y+1/2,-z'
'x,-y+1/2,z'
loop_
_atom_site_label
_atom_site_type_symbol
_atom_site_fract_x
_atom_site_fract_y
_atom_site_fract_z
La1 La 0.104 0.250 0.291
La2 La 0.376 0.750 0.589
Pm1 Pm 0.326 0.750 0.065
In1 In 0.173 0.250 0.799
```

Compound: AcSmPd2
Source: Alexandria
Functional: GGA-PBE
Structure: relaxed

Results
E above lowest polymorph (eV per atom): 0.0769
Energy of formation from the pure elements (eV/atom): -0.732

Structure (CIF):
```
data_AcSmPd2
_space_group_name_H-M_alt 'P 4/m m m'
_space_group_IT_number 123
_space_group_name_Hall '-P 4 2'
_cell_length_a 3.713
_cell_length_b 3.713
_cell_length_c 7.304
_cell_angle_alpha 90.00
_cell_angle_beta 90.00
_cell_angle_gamma 90.00
loop_
_atom_site_label
_atom_site_type_symbol
_atom_site_fract_x
_atom_site_fract_y
_atom_site_fract_z
Ac1 Ac 0.000 0.000 0.000
Sm1 Sm 0.000 0.000 0.500
Pd1 Pd 0.500 0.500 0.277
```

Compound: RbCa2TlPt
Source: Alexandria
Functional: GGA-PBE
Structure: relaxed

Results
Energy of formation from the pure elements (eV/atom): -0.314

Structure (CIF):
```
data_RbCa2TlPt
_space_group_name_H-M_alt 'P 4/m m m'
_space_group_IT_number 123
_space_group_name_Hall '-P 4 2'
_cell_length_a 5.728
_cell_length_b 5.728
_cell_length_c 5.431
_cell_angle_alpha 90.00
_cell_angle_beta 90.00
_cell_angle_gamma 90.00
loop_
_atom_site_label
_atom_site_type_symbol
_atom_site_fract_x
_atom_site_fract_y
_atom_site_fract_z
Rb1 Rb 0.000 0.000 0.000
Ca1 Ca 0.000 0.500 0.500
Tl1 Tl 0.500 0.500 0.000
Pt1 Pt 0.500 0.500 0.500
```

Compound: NiAs2Ru
Source: Alexandria
Functional: GGA-PBE
Structure: relaxed

Results
E above lowest polymorph (eV per atom): 0.3805
Energy of formation from the pure elements (eV/atom): 0.261

Structure (CIF):
```
data_NiAs2Ru
_space_group_name_H-M_alt 'C m m m'
_space_group_IT_number 65
_space_group_name_Hall '-C 2 2'
_cell_length_a 2.977
_cell_length_b 5.099
_cell_length_c 7.975
_cell_angle_alpha 90.00
_cell_angle_beta 90.00
_cell_angle_gamma 90.00
loop_
_atom_site_label
_atom_site_type_symbol
_atom_site_fract_x
_atom_site_fract_y
_atom_site_fract_z
Ni1 Ni 0.000 0.000 0.000
As1 As 0.000 0.500 0.245
Ru1 Ru 0.000 0.000 0.500
```

Compound: La10TbDy4
Source: Alexandria
Functional: GGA-PBE
Structure: relaxed

Results
Energy of formation from the pure elements (eV/atom): 0.636

Structure (CIF):
```
data_La10TbDy4
_space_group_name_H-M_alt 'I 4/m'
_space_group_IT_number 87
_space_group_name_Hall '-I 4'
_cell_length_a 12.482
_cell_length_b 12.482
_cell_length_c 7.945
_cell_angle_alpha 90.00
_cell_angle_beta 90.00
_cell_angle_gamma 90.00
loop_
_atom_site_label
_atom_site_type_symbol
_atom_site_fract_x
_atom_site_fract_y
_atom_site_fract_z
La1 La 0.000 0.500 0.250
La2 La 0.100 0.201 0.250
Tb1 Tb 0.000 0.000 0.000
Dy1 Dy 0.100 0.700 0.500
```

Compound: Ba2TbHgSe5
Source: Alexandria
Functional: GGA-PBE
Structure: relaxed

Results
Formation energy from raw total energies (eV per atom): -1.44

Structure (CIF):
```
data_Ba2TbHgSe5
_space_group_name_H-M_alt 'C m c 21'
_space_group_IT_number 36
_cell_length_a 4.319
_cell_length_b 19.188
_cell_length_c 13.313
_cell_angle_alpha 90.00
_cell_angle_beta 90.00
_cell_angle_gamma 90.00
loop_
_space_group_symop_operation_xyz
'x,y,z'
'-x,-y,z+1/2'
'-x,y,z'
'x,-y,z+1/2'
'x+1/2,y+1/2,z'
'-x+1/2,-y+1/2,z+1/2'
'-x+1/2,y+1/2,z'
'x+1/2,-y+1/2,z+1/2'
loop_
_atom_site_label
_atom_site_type_symbol
_atom_site_fract_x
_atom_site_fract_y
_atom_site_fract_z
Ba1 Ba 0.000 0.119 0.000
Ba2 Ba 0.000 0.132 0.627
Tb1 Tb 0.000 0.207 0.323
Hg1 Hg 0.000 0.458 0.756
Se1 Se 0.000 0.054 0.373
Se2 Se 0.000 0.293 0.969
Se3 Se 0.000 0.308 0.677
Se4 Se 0.000 0.353 0.317
Se5 Se 0.000 0.495 0.074
```

Compound: Tb2RhSe
Source: Alexandria
Functional: GGA-PBE
Structure: relaxed

Results
Formation energy from raw total energies (eV per atom): -1.24
E above lowest polymorph (eV per atom): 0.0566

Structure (CIF):
```
data_Tb2RhSe
_space_group_name_H-M_alt 'C 1 2/m 1'
_space_group_IT_number 12
_cell_length_a 6.875
_cell_length_b 3.964
_cell_length_c 7.475
_cell_angle_alpha 90.00
_cell_angle_beta 107.76
_cell_angle_gamma 90.00
loop_
_space_group_symop_operation_xyz
'x,y,z'
'-x,-y,-z'
'-x,y,-z'
'x,-y,z'
'x+1/2,y+1/2,z'
'-x+1/2,-y+1/2,-z'
'-x+1/2,y+1/2,-z'
'x+1/2,-y+1/2,z'
loop_
_atom_site_label
_atom_site_type_symbol
_atom_site_fract_x
_atom_site_fract_y
_atom_site_fract_z
Tb1 Tb 0.243 0.000 0.229
Rh1 Rh 0.000 0.500 0.000
Se1 Se 0.000 0.000 0.500
```

Compound: Al2TlAu4
Source: Alexandria
Functional: GGA-PBE
Structure: relaxed

Results
Energy of formation from the pure elements (eV/atom): -0.176

Structure (CIF):
```
data_Al2TlAu4
_space_group_name_H-M_alt 'C 1 2/c 1'
_space_group_IT_number 15
_cell_length_a 5.797
_cell_length_b 7.262
_cell_length_c 14.044
_cell_angle_alpha 90.00
_cell_angle_beta 92.95
_cell_angle_gamma 90.00
loop_
_space_group_symop_operation_xyz
'x,y,z'
'-x,-y,-z'
'-x,y,-z+1/2'
'x,-y,z+1/2'
'x+1/2,y+1/2,z'
'-x+1/2,-y+1/2,-z'
'-x+1/2,y+1/2,-z+1/2'
'x+1/2,-y+1/2,z+1/2'
loop_
_atom_site_label
_atom_site_type_symbol
_atom_site_fract_x
_atom_site_fract_y
_atom_site_fract_z
Al1 Al 0.131 0.203 0.411
Tl1 Tl 0.000 0.469 0.750
Au1 Au 0.000 0.073 0.250
Au2 Au 0.000 0.500 0.000
Au3 Au 0.051 0.151 0.918
```

Compound: ZrIn2Co
Source: Alexandria
Functional: GGA-PBE
Structure: relaxed

Results
Energy of formation from the pure elements (eV/atom): -0.020

Structure (CIF):
```
data_ZrIn2Co
_space_group_name_H-M_alt 'A m m 2'
_space_group_IT_number 38
_cell_length_a 3.573
_cell_length_b 3.575
_cell_length_c 12.958
_cell_angle_alpha 90.00
_cell_angle_beta 90.00
_cell_angle_gamma 90.00
loop_
_space_group_symop_operation_xyz
'x,y,z'
'-x,-y,z'
'-x,y,z'
'x,-y,z'
'x,y+1/2,z+1/2'
'-x,-y+1/2,z+1/2'
'-x,y+1/2,z+1/2'
'x,-y+1/2,z+1/2'
loop_
_atom_site_label
_atom_site_type_symbol
_atom_site_fract_x
_atom_site_fract_y
_atom_site_fract_z
Zr1 Zr 0.000 0.000 0.000
In1 In 0.000 0.000 0.285
In2 In 0.500 0.000 0.645
Co1 Co 0.500 0.000 0.438
```

Compound: ErGa2Au8
Source: Alexandria
Functional: GGA-PBE
Structure: relaxed

Results
Energy of formation from the pure elements (eV/atom): -0.306

Structure (CIF):
```
data_ErGa2Au8
_space_group_name_H-M_alt 'C 1 2/m 1'
_space_group_IT_number 12
_cell_length_a 15.162
_cell_length_b 4.039
_cell_length_c 6.958
_cell_angle_alpha 90.00
_cell_angle_beta 106.54
_cell_angle_gamma 90.00
loop_
_space_group_symop_operation_xyz
'x,y,z'
'-x,-y,-z'
'-x,y,-z'
'x,-y,z'
'x+1/2,y+1/2,z'
'-x+1/2,-y+1/2,-z'
'-x+1/2,y+1/2,-z'
'x+1/2,-y+1/2,z'
loop_
_atom_site_label
_atom_site_type_symbol
_atom_site_fract_x
_atom_site_fract_y
_atom_site_fract_z
Er1 Er 0.000 0.000 0.000
Ga1 Ga 0.223 0.500 0.661
Au1 Au 0.038 0.500 0.716
Au2 Au 0.110 0.000 0.455
Au3 Au 0.143 0.500 0.185
Au4 Au 0.178 0.000 0.898
```

Compound: Cs2ZrInSe4
Source: Alexandria
Functional: GGA-PBE
Structure: relaxed

Results
Formation energy from raw total energies (eV per atom): -1.08

Structure (CIF):
```
data_Cs2ZrInSe4
_space_group_name_H-M_alt 'F d d d'
_space_group_IT_number 70
_cell_length_a 7.050
_cell_length_b 15.004
_cell_length_c 25.628
_cell_angle_alpha 90.00
_cell_angle_beta 90.00
_cell_angle_gamma 90.00
loop_
_space_group_symop_operation_xyz
'x,y,z'
'-x,-y,-z'
'-x+1/4,-y+1/4,z'
'x+1/4,y+1/4,-z'
'x,-y+1/4,-z+1/4'
'-x,y+1/4,z+1/4'
'-x+1/4,y,-z+1/4'
'x+1/4,-y,z+1/4'
'x,y+1/2,z+1/2'
'-x,-y+1/2,-z+1/2'
'-x+1/4,-y+3/4,z+1/2'
'x+1/4,y+3/4,-z+1/2'
'x,-y+3/4,-z+3/4'
'-x,y+3/4,z+3/4'
'-x+1/4,y+1/2,-z+3/4'
'x+1/4,-y+1/2,z+3/4'
'x+1/2,y,z+1/2'
'-x+1/2,-y,-z+1/2'
'-x+3/4,-y+1/4,z+1/2'
'x+3/4,y+1/4,-z+1/2'
'x+1/2,-y+1/4,-z+3/4'
'-x+1/2,y+1/4,z+3/4'
'-x+3/4,y,-z+3/4'
'x+3/4,-y,z+3/4'
'x+1/2,y+1/2,z'
'-x+1/2,-y+1/2,-z'
'-x+3/4,-y+3/4,z'
'x+3/4,y+3/4,-z'
'x+1/2,-y+3/4,-z+1/4'
'-x+1/2,y+3/4,z+1/4'
'-x+3/4,y+1/2,-z+1/4'
'x+3/4,-y+1/2,z+1/4'
loop_
_atom_site_label
_atom_site_type_symbol
_atom_site_fract_x
_atom_site_fract_y
_atom_site_fract_z
Cs1 Cs 0.125 0.125 0.305
Zr1 Zr 0.125 0.125 0.125
In1 In 0.125 0.125 0.625
Se1 Se 0.102 0.279 0.429
```

Compound: NaPrEu
Source: Alexandria
Functional: GGA-PBE
Structure: relaxed

Results
E above lowest polymorph (eV per atom): 0.0289
Energy of formation from the pure elements (eV/atom): 0.138

Structure (CIF):
```
data_NaPrEu
_space_group_name_H-M_alt 'I 4 m m'
_space_group_IT_number 107
_space_group_name_Hall 'I 4 -2'
_cell_length_a 3.651
_cell_length_b 3.651
_cell_length_c 17.143
_cell_angle_alpha 90.00
_cell_angle_beta 90.00
_cell_angle_gamma 90.00
loop_
_atom_site_label
_atom_site_type_symbol
_atom_site_fract_x
_atom_site_fract_y
_atom_site_fract_z
Na1 Na 0.000 0.000 0.000
Pr1 Pr 0.000 0.000 0.665
Eu1 Eu 0.000 0.000 0.326
```

Compound: Se2Br
Source: Alexandria
Functional: GGA-PBE
Structure: relaxed

Results
Formation energy from raw total energies (eV per atom): 0.16
E above lowest polymorph (eV per atom): 0.2015

Structure (CIF):
```
data_Se2Br
_space_group_name_H-M_alt 'P -6 2 m'
_space_group_IT_number 189
_space_group_name_Hall 'P -6 -2'
_cell_length_a 9.9633
_cell_length_b 9.9633
_cell_length_c 3.5787
_cell_angle_alpha 90.00
_cell_angle_beta 90.00
_cell_angle_gamma 120.00
loop_
_atom_site_label
_atom_site_type_symbol
_atom_site_fract_x
_atom_site_fract_y
_atom_site_fract_z
Se1 Se 0.0000 0.2468 0.0000
Se2 Se 0.0000 0.4087 0.5000
Br1 Br 0.0000 0.0000 0.5000
Br2 Br 0.3333 0.6667 0.0000
```

Compound: Y3HgO
Source: Alexandria
Functional: GGA-PBE
Structure: relaxed

Results
Formation energy from raw total energies (eV per atom): -0.93
E above lowest polymorph (eV per atom): 0.4718

Structure (CIF):
```
data_Y3HgO
_space_group_name_H-M_alt 'P 63/m m c'
_space_group_IT_number 194
_space_group_name_Hall '-P 6c 2c'
_cell_length_a 5.2923
_cell_length_b 5.2923
_cell_length_c 9.3222
_cell_angle_alpha 90.00
_cell_angle_beta 90.00
_cell_angle_gamma 120.00
loop_
_atom_site_label
_atom_site_type_symbol
_atom_site_fract_x
_atom_site_fract_y
_atom_site_fract_z
Y1 Y 0.0000 0.0000 0.2500
Y2 Y 0.3333 0.6667 0.0757
Hg1 Hg 0.3333 0.6667 0.7500
O1 O 0.0000 0.0000 0.0000
```

Compound: HfGeSb
Source: Alexandria
Functional: GGA-PBE
Structure: relaxed

Results
Formation energy from raw total energies (eV per atom): 0.03

Structure (CIF):
```
data_HfGeSb
_space_group_name_H-M_alt 'I m m m'
_space_group_IT_number 71
_space_group_name_Hall '-I 2 2'
_cell_length_a 3.682
_cell_length_b 4.801
_cell_length_c 15.686
_cell_angle_alpha 90.00
_cell_angle_beta 90.00
_cell_angle_gamma 90.00
loop_
_atom_site_label
_atom_site_type_symbol
_atom_site_fract_x
_atom_site_fract_y
_atom_site_fract_z
Hf1 Hf 0.000 0.000 0.165
Ge1 Ge 0.000 0.249 0.000
Sb1 Sb 0.000 0.000 0.352
```

Compound: Ta4Mo3Rh
Source: Alexandria
Functional: GGA-PBE
Structure: relaxed

Results
Energy of formation from the pure elements (eV/atom): -0.291

Structure (CIF):
```
data_Ta4Mo3Rh
_space_group_name_H-M_alt 'P m m m'
_space_group_IT_number 47
_cell_length_a 3.228
_cell_length_b 4.567
_cell_length_c 9.074
_cell_angle_alpha 90.00
_cell_angle_beta 90.00
_cell_angle_gamma 90.00
loop_
_space_group_symop_operation_xyz
'x,y,z'
'-x,-y,-z'
'-x,-y,z'
'x,y,-z'
'x,-y,-z'
'-x,y,z'
'-x,y,-z'
'x,-y,z'
loop_
_atom_site_label
_atom_site_type_symbol
_atom_site_fract_x
_atom_site_fract_y
_atom_site_fract_z
Ta1 Ta 0.000 0.000 0.000
Ta2 Ta 0.000 0.000 0.500
Ta3 Ta 0.000 0.500 0.248
Mo1 Mo 0.500 0.000 0.256
Mo2 Mo 0.500 0.500 0.000
Rh1 Rh 0.500 0.500 0.500
```

Compound: Mn2NiPd9
Source: Alexandria
Functional: GGA-PBE
Structure: relaxed

Results
Energy of formation from the pure elements (eV/atom): -0.142

Structure (CIF):
```
data_Mn2NiPd9
_space_group_name_H-M_alt 'P 4/m m m'
_space_group_IT_number 123
_space_group_name_Hall '-P 4 2'
_cell_length_a 3.905
_cell_length_b 3.905
_cell_length_c 11.749
_cell_angle_alpha 90.00
_cell_angle_beta 90.00
_cell_angle_gamma 90.00
loop_
_atom_site_label
_atom_site_type_symbol
_atom_site_fract_x
_atom_site_fract_y
_atom_site_fract_z
Mn1 Mn 0.000 0.000 0.168
Ni1 Ni 0.000 0.000 0.500
Pd1 Pd 0.000 0.500 0.000
Pd2 Pd 0.000 0.500 0.337
Pd3 Pd 0.500 0.500 0.168
Pd4 Pd 0.500 0.500 0.500
```

Compound: Ac3La2Mg
Source: Alexandria
Functional: GGA-PBE
Structure: relaxed

Results
Energy of formation from the pure elements (eV/atom): 0.022

Structure (CIF):
```
data_Ac3La2Mg
_space_group_name_H-M_alt 'C m m m'
_space_group_IT_number 65
_space_group_name_Hall '-C 2 2'
_cell_length_a 5.442
_cell_length_b 16.448
_cell_length_c 10.461
_cell_angle_alpha 90.00
_cell_angle_beta 90.00
_cell_angle_gamma 90.00
loop_
_atom_site_label
_atom_site_type_symbol
_atom_site_fract_x
_atom_site_fract_y
_atom_site_fract_z
Ac1 Ac 0.000 0.000 0.246
Ac2 Ac 0.000 0.332 0.236
La1 La 0.000 0.166 0.500
La2 La 0.000 0.500 0.000
La3 La 0.000 0.500 0.500
Mg1 Mg 0.000 0.164 0.000
```

Compound: NdY6Ho2
Source: Alexandria
Functional: GGA-PBE
Structure: relaxed

Results
E above lowest polymorph (eV per atom): 0.0070
Energy of formation from the pure elements (eV/atom): 0.068

Structure (CIF):
```
data_NdY6Ho2
_space_group_name_H-M_alt 'I b a m'
_space_group_IT_number 72
_space_group_name_Hall '-I 2 2c'
_cell_length_a 5.734
_cell_length_b 9.687
_cell_length_c 20.909
_cell_angle_alpha 90.00
_cell_angle_beta 90.00
_cell_angle_gamma 90.00
loop_
_atom_site_label
_atom_site_type_symbol
_atom_site_fract_x
_atom_site_fract_y
_atom_site_fract_z
Nd1 Nd 0.000 0.000 0.250
Y1 Y 0.000 0.000 0.083
Y2 Y 0.028 0.332 0.165
Ho1 Ho 0.033 0.332 0.500
```

Compound: Hf3CdC
Source: Alexandria
Functional: GGA-PBE
Structure: relaxed

Results
E above lowest polymorph (eV per atom): 0.2523
Energy of formation from the pure elements (eV/atom): -0.182

Structure (CIF):
```
data_Hf3CdC
_space_group_name_H-M_alt 'C m c m'
_space_group_IT_number 63
_space_group_name_Hall '-C 2c 2'
_cell_length_a 6.337
_cell_length_b 9.191
_cell_length_c 6.383
_cell_angle_alpha 90.00
_cell_angle_beta 90.00
_cell_angle_gamma 90.00
loop_
_atom_site_label
_atom_site_type_symbol
_atom_site_fract_x
_atom_site_fract_y
_atom_site_fract_z
Hf1 Hf 0.000 0.243 0.250
Hf2 Hf 0.248 0.500 0.000
Cd1 Cd 0.000 0.243 0.750
C1 C 0.000 0.483 0.250
```